DFT (PBE) results for SrGaPd after structural relaxation.

**Space group**: F-43m (216)
**Total DFT energy (no corrections)**: -0.2723 Ry/atom

CIF file:
```
data_SrGaPd
_chemical_formula_sum 'Sr1 Ga1 Pd1'
_cell_length_a 4.805
_cell_length_b 4.805
_cell_length_c 4.805
_cell_angle_alpha 60.00
_cell_angle_beta 60.00
_cell_angle_gamma 60.00
_space_group_name_H-M_alt 'P 1'
_space_group_IT_number 1
loop_
_space_group_symop_operation_xyz
'x,y,z'
loop_
_atom_site_label
_atom_site_fract_x
_atom_site_fract_y
_atom_site_fract_z
Sr1 0.000 0.000 0.000
Ga1 0.500 0.500 0.500
Pd1 0.750 0.750 0.750
```

=====

DFT (PBE) results for AcTmCd after structural relaxation.

**Energy relative to the lowest polymorph listed for this composition**: 0.52 eV per formula unit
**Space group**: F-43m (216)
**Total DFT energy (no corrections)**: -0.1888 Ry/atom

CIF file:
```
data_AcTmCd
_chemical_formula_sum 'Ac1 Tm1 Cd1'
_cell_length_a 5.392
_cell_length_b 5.392
_cell_length_c 5.392
_cell_angle_alpha 60.00
_cell_angle_beta 60.00
_cell_angle_gamma 60.00
_space_group_name_H-M_alt 'P 1'
_space_group_IT_number 1
loop_
_space_group_symop_operation_xyz
'x,y,z'
loop_
_atom_site_label
_atom_site_fract_x
_atom_site_fract_y
_atom_site_fract_z
Ac1 0.000 0.000 0.000
Tm1 0.250 0.250 0.250
Cd1 0.750 0.750 0.750
```

=====

DFT (PBE) results for ZnAgTeO after structural relaxation.

**Energy relative to the lowest polymorph listed for this composition**: 0.62 eV per formula unit
**Space group**: Cmc2_1 (36)
**Total DFT energy (no corrections)**: -0.2543 Ry/atom

CIF file:
```
data_ZnAgTeO
_chemical_formula_sum 'Zn2 Ag2 Te2 O2'
_cell_length_a 7.262
_cell_length_b 7.262
_cell_length_c 6.591
_cell_angle_alpha 90.00
_cell_angle_beta 90.00
_cell_angle_gamma 154.15
_space_group_name_H-M_alt 'P 1'
_space_group_IT_number 1
loop_
_space_group_symop_operation_xyz
'x,y,z'
loop_
_atom_site_label
_atom_site_fract_x
_atom_site_fract_y
_atom_site_fract_z
Zn1 0.171 0.829 0.500
Zn2 0.829 0.171 0.000
Ag1 0.489 0.511 0.660
Ag2 0.511 0.489 0.160
Te1 0.159 0.841 0.916
Te2 0.841 0.159 0.416
O1 0.398 0.602 0.928
O2 0.602 0.398 0.428
```

=====

DFT (PBE) results for LaY after structural relaxation.

**Energy relative to the lowest polymorph listed for this composition**: 0.00 eV per formula unit
**Space group**: P-6m2 (187)
**Total DFT energy (no corrections)**: -0.4154 Ry/atom

CIF file:
```
data_LaY
_chemical_formula_sum 'La1 Y1'
_cell_length_a 3.673
_cell_length_b 3.673
_cell_length_c 5.921
_cell_angle_alpha 90.00
_cell_angle_beta 90.00
_cell_angle_gamma 120.00
_space_group_name_H-M_alt 'P 1'
_space_group_IT_number 1
loop_
_space_group_symop_operation_xyz
'x,y,z'
loop_
_atom_site_label
_atom_site_fract_x
_atom_site_fract_y
_atom_site_fract_z
La1 0.000 0.000 0.000
Y1 0.667 0.333 0.500
```

=====

DFT (PBE) results for BaHfTe after structural relaxation.

**Energy relative to the lowest polymorph listed for this composition**: 1.65 eV per formula unit
**Space group**: F-43m (216)
**Total DFT energy (no corrections)**: -0.3112 Ry/atom

CIF file:
```
data_BaHfTe
_chemical_formula_sum 'Ba1 Hf1 Te1'
_cell_length_a 5.650
_cell_length_b 5.650
_cell_length_c 5.650
_cell_angle_alpha 60.00
_cell_angle_beta 60.00
_cell_angle_gamma 60.00
_space_group_name_H-M_alt 'P 1'
_space_group_IT_number 1
loop_
_space_group_symop_operation_xyz
'x,y,z'
loop_
_atom_site_label
_atom_site_fract_x
_atom_site_fract_y
_atom_site_fract_z
Ba1 0.000 0.000 0.000
Hf1 0.750 0.750 0.750
Te1 0.250 0.250 0.250
```

=====

DFT (PBE) results for MgZrIr2 after structural relaxation.

**Space group**: P6_3/mmc (194)
**Total DFT energy (no corrections)**: -0.5479 Ry/atom

CIF file:
```
data_MgZrIr2
_chemical_formula_sum 'Mg2 Zr2 Ir4'
_cell_length_a 4.479
_cell_length_b 4.479
_cell_length_c 8.420
_cell_angle_alpha 90.00
_cell_angle_beta 90.00
_cell_angle_gamma 120.00
_space_group_name_H-M_alt 'P 1'
_space_group_IT_number 1
loop_
_space_group_symop_operation_xyz
'x,y,z'
loop_
_atom_site_label
_atom_site_fract_x
_atom_site_fract_y
_atom_site_fract_z
Mg1 0.333 0.667 0.250
Mg2 0.667 0.333 0.750
Zr1 0.000 0.000 0.000
Zr2 0.000 0.000 0.500
Ir1 0.333 0.667 0.602
Ir2 0.333 0.667 0.898
Ir3 0.667 0.333 0.102
Ir4 0.667 0.333 0.398
```

=====

DFT (PBE) results for Tb5Sn4 after structural relaxation.

**Energy relative to the lowest polymorph listed for this composition**: 0.35 eV per formula unit
**Space group**: P6_3/mcm (193)
**Total DFT energy (no corrections)**: -0.3724 Ry/atom

CIF file:
```
data_Tb5Sn4
_chemical_formula_sum 'Tb10 Sn8'
_cell_length_a 9.379
_cell_length_b 9.379
_cell_length_c 6.557
_cell_angle_alpha 90.00
_cell_angle_beta 90.00
_cell_angle_gamma 120.00
_space_group_name_H-M_alt 'P 1'
_space_group_IT_number 1
loop_
_space_group_symop_operation_xyz
'x,y,z'
loop_
_atom_site_label
_atom_site_fract_x
_atom_site_fract_y
_atom_site_fract_z
Tb1 0.000 0.271 0.250
Tb2 0.000 0.729 0.750
Tb3 0.271 0.000 0.250
Tb4 0.271 0.271 0.750
Tb5 0.333 0.667 0.000
Tb6 0.333 0.667 0.500
Tb7 0.667 0.333 0.000
Tb8 0.667 0.333 0.500
Tb9 0.729 0.000 0.750
Tb10 0.729 0.729 0.250
Sn1 0.000 0.000 0.000
Sn2 0.000 0.000 0.500
Sn3 0.000 0.386 0.750
Sn4 0.000 0.614 0.250
Sn5 0.386 0.000 0.750
Sn6 0.386 0.386 0.250
Sn7 0.614 0.000 0.250
Sn8 0.614 0.614 0.750
```

=====

DFT (PBE) results for MgAlTcW after structural relaxation.

**Energy relative to the lowest polymorph listed for this composition**: 2.02 eV per formula unit
**Space group**: F-43m (216)
**Total DFT energy (no corrections)**: -0.4932 Ry/atom

CIF file:
```
data_MgAlTcW
_chemical_formula_sum 'Mg1 Al1 Tc1 W1'
_cell_length_a 4.446
_cell_length_b 4.446
_cell_length_c 4.446
_cell_angle_alpha 60.00
_cell_angle_beta 60.00
_cell_angle_gamma 60.00
_space_group_name_H-M_alt 'P 1'
_space_group_IT_number 1
loop_
_space_group_symop_operation_xyz
'x,y,z'
loop_
_atom_site_label
_atom_site_fract_x
_atom_site_fract_y
_atom_site_fract_z
Mg1 0.000 0.000 0.000
Al1 0.500 0.500 0.500
Tc1 0.250 0.250 0.250
W1 0.750 0.750 0.750
```